Computed, not measured: an optimized crystal structure of CrInO2 at the GGA+U level of DFT.

Calculated values
Volume ... 14.6 A^3/atom
Mass density ... 5643 kg/m3
Density of states at the Fermi level ... 0.5 states/eV per cell
Size of the total moment ... 4.309 μB per cell
Energy ... -6.246 eV per atom

POSCAR file:
```
CrInO2
1.0
1.653 0.954 6.178
-1.653 0.954 6.178
0.000 -1.909 6.178
Cr In O
1 1 2
Cartesian
0.000 0.000 0.000
0.000 0.000 9.268
0.000 0.000 1.999
0.000 0.000 16.537
```